(1)
A relaxed Pu3P2C crystal, computed with PBE.

The formation energy from the elements is -636.6 meV/atom. For the final energy, the calculation gives -11.143 eV/atom.

The structure belongs to space group C2/c (No. 15); the cell edges are 6.664, 11.610 and 6.625 Å and the angles 90.00°, 109.43° and 90.00°. The asymmetric unit holds Pu at (0.214, 0.074, 0.004), Pu at (0.250, 0.250, 0.500), P at (0.000, 0.260, 0.750), P at (0.000, 0.418, 0.250) and C at (0.000, 0.090, 0.250).


(2)
A relaxed Cs2ScClF6 crystal, computed with PBE.

For the final energy, the calculation gives -4.776 eV/atom. The uncorrected formation energy is -26.64 eV per formula unit.

The structure belongs to space group I4/mmm (No. 139); the cell edges are 6.278, 6.278 and 10.468 Å and the angles 90.00°, 90.00° and 90.00°. The asymmetric unit holds Cs at (0.000, 0.500, 0.250), Sc at (0.000, 0.000, 0.000), Cl at (0.000, 0.000, 0.500), F at (0.000, 0.000, 0.192) and F at (0.231, 0.231, 0.000).


(3)
A relaxed Mn2CoReIr crystal, computed with PBE.

The formation energy from the elements is 1742.7 meV/atom. For the final energy, the calculation gives -7.608 eV/atom.

The structure belongs to space group P4/mmm (No. 123); the cell edges are 4.652, 4.652 and 4.415 Å and the angles 90.00°, 90.00° and 90.00°. The asymmetric unit holds Mn at (0.000, 0.500, 0.000), Co at (0.000, 0.000, 0.500), Re at (0.500, 0.500, 0.500) and Ir at (0.000, 0.000, 0.000).


(4)
A relaxed ZrTc5 crystal, computed with PBE.

The formation energy from the elements is 30.1 meV/atom. For the final energy, the calculation gives -10.033 eV/atom. For the polymorph energy (0 for the lowest one), the calculation gives 2 meV per atom.

The structure belongs to space group Cmmm (No. 65); the cell edges are 3.957, 12.058 and 3.987 Å and the angles 90.00°, 90.00° and 90.00°. The asymmetric unit holds Zr at (0.000, 0.000, 0.000), Tc at (0.000, 0.177, 0.500), Tc at (0.000, 0.319, 0.000) and Tc at (0.000, 0.500, 0.500).


(5)
A relaxed BaBr3Cl crystal, computed with PBE.

For the final energy, the calculation gives -2.535 eV/atom. For the polymorph energy (0 for the lowest one), the calculation gives 55 meV per atom. The uncorrected formation energy is -3.89 eV per formula unit.

The structure belongs to space group Pm-3m (No. 221); the cell edges are 6.413, 6.413 and 6.413 Å and the angles 90.00°, 90.00° and 90.00°. The asymmetric unit holds Ba at (0.000, 0.000, 0.000), Br at (0.000, 0.000, 0.500) and Cl at (0.500, 0.500, 0.500).


(6)
A relaxed Ac2Bi3Rh5 crystal, computed with PBE.

The formation energy from the elements is -382.8 meV/atom. For the final energy, the calculation gives -6.044 eV/atom. For the polymorph energy (0 for the lowest one), the calculation gives 41 meV per atom.

The structure belongs to space group Cmc2_1 (No. 36); the cell edges are 4.253, 27.164 and 7.964 Å and the angles 90.00°, 90.00° and 90.00°. The asymmetric unit holds Ac at (0.000, 0.013, 0.000), Ac at (0.000, 0.318, 0.136), Bi at (0.000, 0.109, 0.388), Bi at (0.000, 0.281, 0.669), Bi at (0.000, 0.385, 0.488), Rh at (0.000, 0.102, 0.770), Rh at (0.000, 0.201, 0.936), Rh at (0.000, 0.220, 0.379), Rh at (0.000, 0.437, 0.113) and Rh at (0.000, 0.447, 0.761).


(7)
A relaxed Cs2UCo2S6 crystal, computed with PBE.

For the final energy, the calculation gives -5.542 eV/atom. The uncorrected formation energy is -8.99 eV per formula unit.

The structure belongs to space group R-3m (No. 166, hexagonal axes); the cell edges are 7.2679, 7.2679 and 19.2244 Å and the angles 90.00°, 90.00° and 120.00°. The asymmetric unit holds Cs at (0.0000, 0.0000, 0.2374), U at (0.0000, 0.0000, 0.0000), Co at (0.0000, 0.0000, 0.4388) and S at (0.0002, 0.5001, 0.2567).


(8)
A relaxed NaCeCdSb crystal, computed with PBE.

For the final energy, the calculation gives -3.459 eV/atom. The uncorrected formation energy is -1.54 eV per formula unit.

The structure belongs to space group F-43m (No. 216); the cell edges are 7.586, 7.586 and 7.586 Å and the angles 90.00°, 90.00° and 90.00°. The asymmetric unit holds Na at (0.000, 0.000, 0.000), Ce at (0.000, 0.000, 0.500), Cd at (0.250, 0.250, 0.250) and Sb at (0.250, 0.250, 0.750).


(9)
A relaxed K2TaCuCl6 crystal, computed with PBE.

For the final energy, the calculation gives -4.128 eV/atom. The uncorrected formation energy is -12.06 eV per formula unit.

The structure belongs to space group Fm-3m (No. 225); the cell edges are 10.029, 10.029 and 10.029 Å and the angles 90.00°, 90.00° and 90.00°. The asymmetric unit holds K at (0.250, 0.250, 0.250), Ta at (0.000, 0.000, 0.000), Cu at (0.000, 0.000, 0.500) and Cl at (0.000, 0.000, 0.248).


(10)
A relaxed CrFe2Se crystal, computed with PBE.

For the final energy, the calculation gives -7.282 eV/atom. For the polymorph energy (0 for the lowest one), the calculation gives 34 meV per atom. The uncorrected formation energy is 0.91 eV per formula unit.

The structure belongs to space group Immm (No. 71); the cell edges are 3.035, 4.057 and 8.411 Å and the angles 90.00°, 90.00° and 90.00°. The asymmetric unit holds Cr at (0.000, 0.000, 0.000), Fe at (0.000, 0.500, 0.235) and Se at (0.000, 0.000, 0.500).


(11)
A relaxed Ba2Zn3Ga4Au crystal, computed with PBE.

The formation energy from the elements is -375.3 meV/atom. For the final energy, the calculation gives -2.680 eV/atom.

The structure belongs to space group P-4m2 (No. 115); the cell edges are 4.645, 4.645 and 10.672 Å and the angles 90.00°, 90.00° and 90.00°. The asymmetric unit holds Ba at (0.000, 0.500, 0.249), Zn at (0.000, 0.000, 0.000), Zn at (0.000, 0.500, 0.627), Ga at (0.000, 0.000, 0.500), Ga at (0.000, 0.500, 0.878), Ga at (0.500, 0.500, 0.500) and Au at (0.500, 0.500, 0.000).


(12)
A relaxed MnRh4 crystal, computed with PBE.

The formation energy from the elements is 601.9 meV/atom. For the final energy, the calculation gives -7.113 eV/atom. For the polymorph energy (0 for the lowest one), the calculation gives 687 meV per atom.

The structure belongs to space group I4/mmm (No. 139); the cell edges are 4.695, 4.695 and 7.913 Å and the angles 90.00°, 90.00° and 90.00°. The asymmetric unit holds Mn at (0.000, 0.000, 0.000), Rh at (0.000, 0.000, 0.349) and Rh at (0.000, 0.500, 0.250).


(13)
A relaxed Li3CrAu12 crystal, computed with PBE.

The formation energy from the elements is -247.4 meV/atom. For the final energy, the calculation gives -3.666 eV/atom.

The structure belongs to space group P4/mmm (No. 123); the cell edges are 4.069, 4.069 and 16.435 Å and the angles 90.00°, 90.00° and 90.00°. The asymmetric unit holds Li at (0.000, 0.000, 0.000), Li at (0.000, 0.000, 0.248), Cr at (0.000, 0.000, 0.500), Au at (0.000, 0.500, 0.124), Au at (0.000, 0.500, 0.373), Au at (0.500, 0.500, 0.000), Au at (0.500, 0.500, 0.248) and Au at (0.500, 0.500, 0.500).


(14)
A relaxed RbMg crystal, computed with PBE.

The formation energy from the elements is 231.1 meV/atom. For the final energy, the calculation gives -1.050 eV/atom.

The structure belongs to space group Cm (No. 8); the cell edges are 16.919, 3.797 and 9.237 Å and the angles 90.00°, 105.04° and 90.00°. The asymmetric unit holds Rb at (0.000, 0.000, 0.000), Rb at (0.038, 0.000, 0.491), Rb at (0.301, 0.000, 0.618), Mg at (0.192, 0.500, 0.248), Mg at (0.198, 0.500, 0.912) and Mg at (0.326, 0.000, 0.165).


(15)
A relaxed CsRbInPb crystal, computed with PBE.

The formation energy from the elements is -96.3 meV/atom. For the final energy, the calculation gives -2.163 eV/atom. For the polymorph energy (0 for the lowest one), the calculation gives 0 meV per atom.

The structure belongs to space group Cm (No. 8); the cell edges are 8.890, 5.130 and 10.636 Å and the angles 90.00°, 106.31° and 90.00°. The asymmetric unit holds Cs at (0.000, 0.000, 0.000), Rb at (0.317, 0.500, 0.455), In at (0.082, 0.500, 0.747) and Pb at (0.229, 0.000, 0.689).


(16)
A relaxed TbNdCuHg crystal, computed with PBE.

The formation energy from the elements is -323.8 meV/atom. For the final energy, the calculation gives -3.773 eV/atom. For the polymorph energy (0 for the lowest one), the calculation gives 0 meV per atom.

The structure belongs to space group P4mm (No. 99); the cell edges are 3.621, 3.621 and 7.520 Å and the angles 90.00°, 90.00° and 90.00°. The asymmetric unit holds Tb at (0.000, 0.000, 0.000), Nd at (0.000, 0.000, 0.542), Cu at (0.500, 0.500, 0.791) and Hg at (0.500, 0.500, 0.259).


(17)
A relaxed La6TbAg crystal, computed with PBE.

The formation energy from the elements is 321.8 meV/atom. For the final energy, the calculation gives -4.309 eV/atom.

The structure belongs to space group P-1 (No. 2); the cell edges are 6.844, 6.852 and 8.519 Å and the angles 90.31°, 113.32° and 119.72°. The asymmetric unit holds La at (0.024, 0.063, 0.239), La at (0.277, 0.717, 0.240), La at (0.318, 0.534, 0.761), Tb at (0.500, 0.000, 0.000) and Ag at (0.500, 0.500, 0.500).


(18)
A relaxed Tl2InSn crystal, computed with PBE.

The formation energy from the elements is 40.6 meV/atom. For the final energy, the calculation gives -2.828 eV/atom. For the polymorph energy (0 for the lowest one), the calculation gives 19 meV per atom.

The structure belongs to space group Fm-3m (No. 225); the cell edges are 7.782, 7.782 and 7.782 Å and the angles 90.00°, 90.00° and 90.00°. The asymmetric unit holds Tl at (0.250, 0.250, 0.250), In at (0.000, 0.000, 0.000) and Sn at (0.000, 0.000, 0.500).


(19)
A relaxed BaSmHg crystal, computed with PBE.

The formation energy from the elements is -258.5 meV/atom. For the final energy, the calculation gives -2.573 eV/atom. For the polymorph energy (0 for the lowest one), the calculation gives 0 meV per atom.

The structure belongs to space group I4mm (No. 107); the cell edges are 4.009, 4.009 and 13.918 Å and the angles 90.00°, 90.00° and 90.00°. The asymmetric unit holds Ba at (0.000, 0.000, 0.000), Sm at (0.000, 0.000, 0.274) and Hg at (0.000, 0.000, 0.673).


(20)
A relaxed Y2Si4Os3 crystal, computed with PBE.

For the final energy, the calculation gives -8.214 eV/atom. The uncorrected formation energy is -5.61 eV per formula unit.

The structure belongs to space group Cmce (No. 64); the cell edges are 5.754, 14.701 and 7.015 Å and the angles 90.00°, 90.00° and 90.00°. The asymmetric unit holds Y at (0.000, 0.110, 0.094), Si at (0.000, 0.178, 0.479), Si at (0.250, 0.062, 0.750), Os at (0.000, 0.000, 0.500) and Os at (0.250, 0.227, 0.750).